Entry 1:
# RbYBeF6

RbYBeF6 after structural relaxation (GGA-PBE, the Alexandria database).

Lattice parameters (Å, degrees): 6.562 5.898 7.342 90.00 113.94 90.00
Space group P2_1/m (No. 11)
Inequivalent atoms, fractional coordinates:
Rb 0.085 0.250 0.214 x2
Y 0.395 0.250 0.822 x2
Be 0.231 0.750 0.464 x2
F 0.000 0.250 0.720 x2
F 0.249 0.535 0.595 x4
F 0.320 0.501 0.025 x4
F 0.419 0.750 0.387 x2

Properties
As for the total energy: -6.090 eV per atom. As for the crystal system: monoclinic. Its spin magnetization is 0.00 μB per atom. Its formation energy (no corrections) is -3.60 eV per atom.

=====

Entry 2:
# RbBeZnF6

RbBeZnF6 after structural relaxation (GGA-PBE, the Alexandria database).

Lattice parameters (Å, degrees): 5.0547 5.0547 6.1250 90.00 90.00 120.00
Space group P312 (No. 149)
Inequivalent atoms, fractional coordinates:
Rb 0.0000 0.0000 0.0000 x1
Be 0.6667 0.3333 0.5000 x1
Zn 0.3333 0.6667 0.5000 x1
F 0.4023 0.0322 0.6698 x6

Properties
As for the total energy: -4.321 eV per atom. As for the crystal system: trigonal. Its spin magnetization is 0.12 μB per atom. Its formation energy (no corrections) is -2.41 eV per atom.

=====

Entry 3:
# Rb2BeZnF6

Rb2BeZnF6 after structural relaxation (GGA-PBE, the Alexandria database).

Lattice parameters (Å, degrees): 5.573 5.573 9.139 90.00 90.00 90.00
Space group I4/mmm (No. 139)
Inequivalent atoms, fractional coordinates:
Rb 0.000 0.500 0.250 x4
Be 0.000 0.000 0.000 x2
Zn 0.000 0.000 0.500 x2
F 0.000 0.000 0.290 x4
F 0.213 0.213 0.000 x8

Properties
As for the total energy: -4.492 eV per atom. As for the crystal system: tetragonal. Its spin magnetization is 0.00 μB per atom. Its formation energy (no corrections) is -2.68 eV per atom.

=====

Entry 4:
# Be3ReF

Be3ReF after structural relaxation (GGA-PBE, the Alexandria database).

Lattice parameters (Å, degrees): 3.626 3.626 3.626 90.00 90.00 90.00
Space group Pm-3m (No. 221)
Inequivalent atoms, fractional coordinates:
Be 0.000 0.000 0.500 x3
Re 0.500 0.500 0.500 x1
F 0.000 0.000 0.000 x1

Properties
As for the total energy: -5.327 eV per atom. As for the crystal system: cubic. Its spin magnetization is 0.00 μB per atom. Its formation energy (no corrections) is -0.23 eV per atom. The calculation puts the energy above the lowest structure with this stoichiometry at 0.0000 eV/atom.